(1)
The following is a GGA-PBE calculation of a relaxed structure of CdSnBr, from the Alexandria database.

a b c (Å): 6.143 6.143 6.740
angles (deg): 90.00 90.00 130.33
Fractional coordinates of all 6 atoms:
Cd: 0.000 0.000 0.000
Cd: 0.000 0.000 0.500
Sn: 0.497 0.503 0.750
Sn: 0.503 0.497 0.250
Br: 0.260 0.740 0.250
Br: 0.740 0.260 0.750

Output
As for the formation energy without anion corrections: -26 kJ per mole of atoms. The density of states at the Fermi level comes out at 0.265 states/eV/atom. The crystal system is orthorhombic.

(2)
The following is a GGA-PBE calculation of a relaxed structure of KZrTl, from the Alexandria database.

a b c (Å): 4.814 4.958 11.917
angles (deg): 101.76 90.04 119.03
Fractional coordinates of all 6 atoms:
K: 0.000 0.000 0.000
K: 0.212 0.421 0.656
Zr: 0.084 0.165 0.328
Zr: 0.776 0.550 0.328
Tl: 0.388 0.774 0.195
Tl: 0.474 0.945 0.460

Output
The value obtained for the formation energy is 187 meV per atom. The density of states at the Fermi level comes out at 0.293 states/eV/atom. The crystal system is triclinic.

(3)
The following is a GGA-PBE calculation of a relaxed structure of AlCd3Ni, from the Alexandria database.

a b c (Å): 5.071 5.071 5.071
angles (deg): 90.00 90.00 90.00
Fractional coordinates of all 5 atoms:
Al: 0.000 0.000 0.000
Cd: 0.000 0.000 0.500
Cd: 0.000 0.500 0.000
Cd: 0.500 0.000 0.000
Ni: 0.500 0.500 0.500

Output
The value obtained for the formation energy is 876 meV per atom. The density of states at the Fermi level comes out at 0.961 states/eV/atom. The crystal system is cubic.

(4)
The following is a GGA-PBE calculation of a relaxed structure of In2FeAg, from the Alexandria database.

a b c (Å): 3.031 3.031 8.646
angles (deg): 90.00 90.00 90.00
Fractional coordinates of all 4 atoms:
In: 0.000 0.000 0.000
In: 0.500 0.500 0.318
Fe: 0.500 0.500 0.786
Ag: 0.000 0.000 0.582

Output
The value obtained for the formation energy is 275 meV per atom. The density of states at the Fermi level comes out at 0.732 states/eV/atom. The crystal system is tetragonal.

no.,offset from the most stable computed form (eV/atom),final energy (eV per cell)
1,0.0219,-14.78
2,0.1644,-22.90
3,0.5124,-7.89
4,0.0706,-15.69